First-principles (PBE) data for crystalline Pr2WN4 at its relaxed geometry, as listed in the Alexandria database.

## Properties
For the raw total energy, the calculation gives -0.3307 hartree per atom. For the uncorrected formation energy, the calculation gives -1.02 eV per atom. As for the total magnetization: 0.0 μB/cell.

Cell lengths 5.9894, 6.0198, 6.9902 Å; angles 90.00, 108.93, 90.00 degrees
Fractional positions:
N 0.9455 0.2500 0.0771
N 0.5484 0.4908 0.7449
W 0.7636 0.2500 0.8051
Pr 0.3185 0.2500 0.9733
W 0.2364 0.7500 0.1949
N 0.0305 0.7500 0.3478
N 0.4516 0.9908 0.2551
Pr 0.7724 0.7500 0.5625
Pr 0.2276 0.2500 0.4375
N 0.0545 0.7500 0.9229
N 0.9695 0.2500 0.6522
Pr 0.6815 0.7500 0.0267
N 0.5484 0.0092 0.7449
N 0.4516 0.5092 0.2551